Entry from Alexandria: an optimized crystal structure of Tm2VGa6 (PBE).

a = 5.832 Å, b = 5.832 Å, c = 5.623 Å
α = 90.00°, β = 90.00°, γ = 120.00°
Fractional positions:
Tm 0.333 0.667 0.167
Tm 0.667 0.333 0.833
V 0.000 0.000 0.000
Ga 0.177 0.355 0.683
Ga 0.177 0.823 0.683
Ga 0.355 0.177 0.317
Ga 0.645 0.823 0.683
Ga 0.823 0.177 0.317
Ga 0.823 0.645 0.317

Properties
The total moment is 0.50 μB per formula unit. As for the energy of formation from the pure elements: -416 meV per atom. For the final energy, the calculation gives -4.441 eV/atom. The density of states at the Fermi level comes out at 4.072 states/eV/cell.

***

Entry from Alexandria: an optimized crystal structure of TmVGa2 (PBE).

a = 3.389 Å, b = 3.389 Å, c = 6.201 Å
α = 90.00°, β = 90.00°, γ = 90.00°
Fractional positions:
Tm 0.000 0.000 0.000
V 0.000 0.000 0.500
Ga 0.500 0.500 0.296
Ga 0.500 0.500 0.704

Properties
The total moment is 0.00 μB per formula unit. As for the energy of formation from the pure elements: -240 meV per atom. The excess energy over the best structure of this formula in the dataset is 0.000 eV/atom. For the final energy, the calculation gives -5.151 eV/atom. The density of states at the Fermi level comes out at 2.849 states/eV/cell.

***

Entry from Alexandria: an optimized crystal structure of TmV6Ga6 (PBE).

a = 6.840 Å, b = 6.840 Å, c = 6.840 Å
α = 135.58°, β = 98.94°, γ = 97.49°
Fractional positions:
Tm 0.000 0.000 0.000
V 0.000 0.000 0.500
V 0.000 0.500 0.000
V 0.242 0.742 0.500
V 0.500 0.000 0.000
V 0.500 0.500 0.500
V 0.758 0.258 0.500
Ga 0.181 0.500 0.681
Ga 0.316 0.316 0.000
Ga 0.344 0.000 0.344
Ga 0.656 0.000 0.656
Ga 0.684 0.684 0.000
Ga 0.819 0.500 0.319

Properties
The total moment is 0.00 μB per formula unit. As for the energy of formation from the pure elements: -227 meV per atom. For the final energy, the calculation gives -6.176 eV/atom. The density of states at the Fermi level comes out at 16.371 states/eV/cell.

***

Entry from Alexandria: an optimized crystal structure of Tm2VGa (PBE).

a = 10.462 Å, b = 10.462 Å, c = 10.462 Å
α = 18.02°, β = 18.02°, γ = 18.02°
Fractional positions:
Tm 0.092 0.092 0.092
Tm 0.908 0.908 0.908
V 0.000 0.000 0.000
Ga 0.500 0.500 0.500

Properties
The total moment is 3.07 μB per formula unit. As for the energy of formation from the pure elements: 390 meV per atom. For the final energy, the calculation gives -4.882 eV/atom. The density of states at the Fermi level comes out at 4.540 states/eV/cell.

***

Entry from Alexandria: an optimized crystal structure of Tm3VGa12 (PBE).

a = 4.194 Å, b = 4.194 Å, c = 16.467 Å
α = 90.00°, β = 90.00°, γ = 90.00°
Fractional positions:
Tm 0.000 0.000 0.000
Tm 0.000 0.000 0.262
Tm 0.000 0.000 0.738
V 0.000 0.000 0.500
Ga 0.000 0.500 0.130
Ga 0.000 0.500 0.390
Ga 0.000 0.500 0.610
Ga 0.000 0.500 0.870
Ga 0.500 0.000 0.130
Ga 0.500 0.000 0.390
Ga 0.500 0.000 0.610
Ga 0.500 0.000 0.870
Ga 0.500 0.500 0.000
Ga 0.500 0.500 0.256
Ga 0.500 0.500 0.500
Ga 0.500 0.500 0.744

Properties
The total moment is 1.45 μB per formula unit. As for the energy of formation from the pure elements: -393 meV per atom. For the final energy, the calculation gives -4.072 eV/atom. The density of states at the Fermi level comes out at 8.011 states/eV/cell.

***

Entry from Alexandria: an optimized crystal structure of YTm2Ga (PBE).

a = 3.497 Å, b = 3.497 Å, c = 8.804 Å
α = 90.00°, β = 90.00°, γ = 90.00°
Fractional positions:
Y 0.000 0.000 0.000
Tm 0.500 0.500 0.293
Tm 0.500 0.500 0.707
Ga 0.000 0.000 0.500

Properties
The total moment is 0.00 μB per formula unit. As for the energy of formation from the pure elements: -290 meV per atom. The excess energy over the best structure of this formula in the dataset is 0.001 eV/atom. For the final energy, the calculation gives -4.899 eV/atom. The density of states at the Fermi level comes out at 4.175 states/eV/cell.

***

Entry from Alexandria: an optimized crystal structure of Y3Tm4Ga4 (PBE).

a = 9.318 Å, b = 9.318 Å, c = 9.318 Å
α = 149.26°, β = 137.25°, γ = 53.57°
Fractional positions:
Y 0.000 0.000 0.000
Y 0.401 0.901 0.500
Y 0.599 0.099 0.500
Tm 0.054 0.322 0.732
Tm 0.410 0.678 0.732
Tm 0.590 0.322 0.268
Tm 0.946 0.678 0.268
Ga 0.178 0.178 0.000
Ga 0.301 0.500 0.801
Ga 0.699 0.500 0.199
Ga 0.822 0.822 0.000

Properties
The total moment is 0.00 μB per formula unit. As for the energy of formation from the pure elements: -380 meV per atom. For the final energy, the calculation gives -4.869 eV/atom. The density of states at the Fermi level comes out at 9.410 states/eV/cell.

***

Entry from Alexandria: an optimized crystal structure of YTm2Ga (PBE).

a = 6.555 Å, b = 6.555 Å, c = 9.434 Å
α = 90.00°, β = 90.00°, γ = 147.38°
Fractional positions:
Y 0.054 0.946 0.750
Y 0.946 0.054 0.250
Tm 0.364 0.636 0.549
Tm 0.364 0.636 0.951
Tm 0.636 0.364 0.049
Tm 0.636 0.364 0.451
Ga 0.253 0.747 0.250
Ga 0.747 0.253 0.750

Properties
The total moment is 0.76 μB per formula unit. As for the energy of formation from the pure elements: -292 meV per atom. The excess energy over the best structure of this formula in the dataset is 0.000 eV/atom. For the final energy, the calculation gives -4.900 eV/atom. The density of states at the Fermi level comes out at 10.100 states/eV/cell.

***

Entry from Alexandria: an optimized crystal structure of Y3Tm3Ga4 (PBE).

a = 4.271 Å, b = 7.633 Å, c = 7.633 Å
α = 90.20°, β = 90.00°, γ = 90.00°
Fractional positions:
Y 0.000 0.000 0.000
Y 0.000 0.499 0.850
Y 0.000 0.850 0.499
Tm 0.000 0.349 0.349
Tm 0.500 0.175 0.673
Tm 0.500 0.673 0.175
Ga 0.500 0.056 0.295
Ga 0.500 0.295 0.056
Ga 0.500 0.552 0.552
Ga 0.500 0.794 0.794

Properties
The total moment is 0.00 μB per formula unit. As for the energy of formation from the pure elements: -547 meV per atom. For the final energy, the calculation gives -5.038 eV/atom. The density of states at the Fermi level comes out at 10.810 states/eV/cell.

***

Entry from Alexandria: an optimized crystal structure of Y2TmGa (PBE).

a = 3.514 Å, b = 3.514 Å, c = 8.914 Å
α = 90.00°, β = 90.00°, γ = 90.00°
Fractional positions:
Y 0.000 0.000 0.210
Y 0.000 0.000 0.790
Tm 0.500 0.500 0.500
Ga 0.500 0.500 0.000

Properties
The total moment is 0.00 μB per formula unit. As for the energy of formation from the pure elements: -280 meV per atom. The excess energy over the best structure of this formula in the dataset is 0.021 eV/atom. For the final energy, the calculation gives -5.387 eV/atom. The density of states at the Fermi level comes out at 4.697 states/eV/cell.

***

Entry from Alexandria: an optimized crystal structure of YTmGa2 (PBE).

a = 3.555 Å, b = 3.555 Å, c = 7.093 Å
α = 90.00°, β = 90.00°, γ = 90.00°
Fractional positions:
Y 0.000 0.000 0.000
Tm 0.000 0.000 0.500
Ga 0.500 0.500 0.256
Ga 0.500 0.500 0.744

Properties
The total moment is 0.00 μB per formula unit. As for the energy of formation from the pure elements: -588 meV per atom. For the final energy, the calculation gives -4.836 eV/atom. The density of states at the Fermi level comes out at 1.792 states/eV/cell.

***

Entry from Alexandria: an optimized crystal structure of YTm4Ga4 (PBE).

a = 9.012 Å, b = 9.012 Å, c = 5.847 Å
α = 90.00°, β = 90.00°, γ = 90.00°
Fractional positions:
Y 0.250 0.250 0.250
Y 0.750 0.750 0.750
Tm 0.073 0.656 0.130
Tm 0.156 0.927 0.630
Tm 0.344 0.573 0.630
Tm 0.427 0.844 0.130
Tm 0.573 0.156 0.870
Tm 0.656 0.427 0.370
Tm 0.844 0.073 0.370
Tm 0.927 0.344 0.870
Ga 0.026 0.617 0.622
Ga 0.117 0.974 0.122
Ga 0.383 0.526 0.122
Ga 0.474 0.883 0.622
Ga 0.526 0.117 0.378
Ga 0.617 0.474 0.878
Ga 0.883 0.026 0.878
Ga 0.974 0.383 0.378

Properties
The total moment is 0.00 μB per formula unit. As for the energy of formation from the pure elements: -354 meV per atom. For the final energy, the calculation gives -4.405 eV/atom. The density of states at the Fermi level comes out at 13.109 states/eV/cell.

***

Entry from Alexandria: an optimized crystal structure of Y3TmGa (PBE).

a = 7.415 Å, b = 7.415 Å, c = 7.712 Å
α = 121.18°, β = 121.18°, γ = 74.21°
Fractional positions:
Y 0.054 0.054 0.329
Y 0.088 0.472 0.246
Y 0.472 0.088 0.246
Y 0.528 0.912 0.754
Y 0.912 0.528 0.754
Y 0.946 0.946 0.671
Tm 0.433 0.433 0.733
Tm 0.567 0.567 0.267
Ga 0.256 0.256 0.885
Ga 0.744 0.744 0.115

Properties
The total moment is 0.00 μB per formula unit. As for the energy of formation from the pure elements: -96 meV per atom. For the final energy, the calculation gives -5.474 eV/atom. The density of states at the Fermi level comes out at 16.325 states/eV/cell.

***

Entry from Alexandria: an optimized crystal structure of YTm2Ga6 (PBE).

a = 7.452 Å, b = 7.452 Å, c = 3.773 Å
α = 90.00°, β = 90.00°, γ = 120.00°
Fractional positions:
Y 0.000 0.000 0.000
Tm 0.333 0.667 0.000
Tm 0.667 0.333 0.000
Ga 0.000 0.334 0.500
Ga 0.000 0.666 0.500
Ga 0.334 0.000 0.500
Ga 0.334 0.334 0.500
Ga 0.666 0.000 0.500
Ga 0.666 0.666 0.500

Properties
The total moment is 0.00 μB per formula unit. As for the energy of formation from the pure elements: -610 meV per atom. The excess energy over the best structure of this formula in the dataset is 0.000 eV/atom. For the final energy, the calculation gives -4.340 eV/atom. The density of states at the Fermi level comes out at 3.250 states/eV/cell.

***

Entry from Alexandria: an optimized crystal structure of YTmGa6 (PBE).

a = 6.226 Å, b = 6.226 Å, c = 4.594 Å
α = 90.00°, β = 90.00°, γ = 120.00°
Fractional positions:
Y 0.000 0.000 0.000
Tm 0.667 0.333 0.500
Ga 0.036 0.518 0.000
Ga 0.186 0.372 0.500
Ga 0.186 0.814 0.500
Ga 0.482 0.518 0.000
Ga 0.482 0.964 0.000
Ga 0.628 0.814 0.500

Properties
The total moment is 0.00 μB per formula unit. As for the energy of formation from the pure elements: -514 meV per atom. For the final energy, the calculation gives -4.152 eV/atom. The density of states at the Fermi level comes out at 3.291 states/eV/cell.

***

Entry from Alexandria: an optimized crystal structure of YTmGa2 (PBE).

a = 8.900 Å, b = 8.900 Å, c = 8.900 Å
α = 23.49°, β = 23.49°, γ = 23.49°
Fractional positions:
Y 0.000 0.000 0.000
Tm 0.500 0.500 0.500
Ga 0.249 0.249 0.249
Ga 0.751 0.751 0.751

Properties
The total moment is 0.00 μB per formula unit. As for the energy of formation from the pure elements: -435 meV per atom. For the final energy, the calculation gives -4.682 eV/atom. The density of states at the Fermi level comes out at 1.972 states/eV/cell.

***

Entry from Alexandria: an optimized crystal structure of Y2TmGa (PBE).

a = 6.647 Å, b = 6.647 Å, c = 9.525 Å
α = 90.00°, β = 90.00°, γ = 147.99°
Fractional positions:
Y 0.133 0.867 0.553
Y 0.133 0.867 0.947
Y 0.867 0.133 0.053
Y 0.867 0.133 0.447
Tm 0.443 0.557 0.750
Tm 0.557 0.443 0.250
Ga 0.242 0.758 0.250
Ga 0.758 0.242 0.750

Properties
The total moment is 0.66 μB per formula unit. As for the energy of formation from the pure elements: -301 meV per atom. The excess energy over the best structure of this formula in the dataset is 0.000 eV/atom. For the final energy, the calculation gives -5.408 eV/atom. The density of states at the Fermi level comes out at 10.390 states/eV/cell.

***

Entry from Alexandria: an optimized crystal structure of Y2TmGa (PBE).

a = 4.730 Å, b = 4.730 Å, c = 4.693 Å
α = 90.00°, β = 90.00°, γ = 90.00°
Fractional positions:
Y 0.000 0.500 0.000
Y 0.500 0.000 0.000
Tm 0.000 0.000 0.500
Ga 0.500 0.500 0.500

Properties
The total moment is 0.00 μB per formula unit. As for the energy of formation from the pure elements: -237 meV per atom. The excess energy over the best structure of this formula in the dataset is 0.064 eV/atom. For the final energy, the calculation gives -5.344 eV/atom. The density of states at the Fermi level comes out at 5.672 states/eV/cell.

***

Entry from Alexandria: an optimized crystal structure of YTm2Ga (PBE).

a = 11.282 Å, b = 11.282 Å, c = 11.282 Å
α = 17.68°, β = 17.68°, γ = 17.68°
Fractional positions:
Y 0.000 0.000 0.000
Tm 0.102 0.102 0.102
Tm 0.898 0.898 0.898
Ga 0.500 0.500 0.500

Properties
The total moment is 1.08 μB per formula unit. As for the energy of formation from the pure elements: 1 meV per atom. The excess energy over the best structure of this formula in the dataset is 0.292 eV/atom. For the final energy, the calculation gives -4.608 eV/atom. The density of states at the Fermi level comes out at 4.709 states/eV/cell.

***

Entry from Alexandria: an optimized crystal structure of YTm2Ga6 (PBE).

a = 7.779 Å, b = 7.779 Å, c = 7.779 Å
α = 148.11°, β = 127.15°, γ = 63.07°
Fractional positions:
Y 0.000 0.000 0.000
Tm 0.375 0.875 0.500
Tm 0.625 0.125 0.500
Ga 0.008 0.314 0.694
Ga 0.311 0.500 0.811
Ga 0.380 0.686 0.694
Ga 0.620 0.314 0.306
Ga 0.689 0.500 0.189
Ga 0.992 0.686 0.306

Properties
The total moment is 0.00 μB per formula unit. As for the energy of formation from the pure elements: -472 meV per atom. The excess energy over the best structure of this formula in the dataset is 0.138 eV/atom. For the final energy, the calculation gives -4.202 eV/atom. The density of states at the Fermi level comes out at 4.302 states/eV/cell.